Entry 1:
Material: LuMgSc2
Method: DFT, GGA-PBE
State: optimized geometry

distance to the lowest polymorph of the same formula = 0.035 eV per atom
calculated density = 4.7 g cm⁻³
ΔH_f (0 K) = 0.039 eV/atom
space-group type = R-3m, No. 166
magnetic moment = 0.0 μB per cell

Cell lengths 3.294, 3.294, 10.995 Å; angles 81.38, 81.38, 60.00 degrees
Element x y z (fractional)
Sc (0.752, 0.752, 0.745)
Sc (0.248, 0.248, 0.255)
Mg (0.500, 0.500, 0.500)
Lu (0.000, 0.000, 0.000)

=====

Entry 2:
Material: YAgC
Method: DFT, GGA-PBE
State: optimized geometry

calculated density = 6.2 g cm⁻³
ΔH_f (0 K) = 0.040 eV/atom
space-group type = Cm, No. 8
magnetic moment = 0.0 μB per cell

Cell lengths 5.096, 5.010, 5.925 Å; angles 117.39, 64.51, 120.60 degrees
Element x y z (fractional)
Y (0.618, 0.668, 0.468)
Y (0.076, 0.072, 0.955)
C (0.624, 0.185, 0.973)
C (0.776, 0.498, 0.980)
Ag (0.332, 0.953, 0.325)
Ag (0.933, 0.369, 0.538)

=====

Entry 3:
Material: Cs2BeSiS4
Method: DFT, GGA-PBE
State: optimized geometry

calculated density = 3.0 g cm⁻³
energy relative to the elements, uncorrected = -1.15 eV per atom
space-group type = Fddd, No. 70
magnetic moment = 0.0 μB per cell

Cell lengths 5.512, 7.501, 12.832 Å; angles 85.48, 77.60, 68.45 degrees
Element x y z (fractional)
Cs (0.177, 0.000, 0.647)
Cs (0.823, 0.000, 0.353)
Cs (0.573, 0.500, 0.853)
Cs (0.927, 0.500, 0.147)
Be (0.750, 0.500, 0.500)
Be (0.000, 0.000, 0.000)
Si (0.250, 0.500, 0.500)
Si (0.500, 0.000, 0.000)
S (0.288, 0.833, 0.092)
S (0.213, 0.167, 0.908)
S (0.879, 0.833, 0.908)
S (0.620, 0.167, 0.092)
S (0.462, 0.667, 0.408)
S (0.537, 0.333, 0.592)
S (0.871, 0.667, 0.592)
S (0.130, 0.333, 0.408)

=====

Entry 4:
Material: HoTh2H8
Method: DFT, GGA-PBE
State: optimized geometry

calculated density = 9.2 g cm⁻³
space-group type = Immm, No. 71
calculated total energy = -4.7029 eV per atom
magnetic moment = 0.0 μB per cell

Cell lengths 3.936, 4.805, 6.833 Å; angles 110.59, 106.74, 90.00 degrees
Element x y z (fractional)
Ho (0.500, 0.000, 0.000)
Th (0.168, 0.668, 0.336)
Th (0.832, 0.332, 0.664)
H (0.653, 0.911, 0.306)
H (0.347, 0.605, 0.694)
H (0.200, 0.200, 0.401)
H (0.000, 0.247, 0.000)
H (0.800, 0.800, 0.599)
H (0.653, 0.395, 0.306)
H (0.347, 0.089, 0.694)
H (0.000, 0.753, 0.000)

=====

Entry 5:
Material: Ag5PdAu12
Method: DFT, GGA-PBE
State: optimized geometry

calculated density = 15.6 g cm⁻³
ΔH_f (0 K) = -0.054 eV/atom
space-group type = C2/m, No. 12
magnetic moment = 0.0 μB per cell

Cell lengths 8.826, 8.795, 5.068 Å; angles 73.17, 90.00, 59.88 degrees
Element x y z (fractional)
Ag (0.500, 0.000, 0.500)
Ag (0.166, 0.668, 0.496)
Ag (0.834, 0.332, 0.504)
Ag (0.667, 0.666, 0.002)
Ag (0.333, 0.334, 0.998)
Pd (0.000, 0.000, 0.000)
Au (0.836, 0.000, 0.500)
Au (0.164, 0.000, 0.500)
Au (0.668, 0.000, 0.000)
Au (0.332, 0.000, 0.000)
Au (0.331, 0.669, 0.998)
Au (0.001, 0.669, 0.998)
Au (0.000, 0.331, 0.002)
Au (0.669, 0.331, 0.002)
Au (0.499, 0.334, 0.498)
Au (0.833, 0.666, 0.502)
Au (0.167, 0.334, 0.498)
Au (0.501, 0.666, 0.502)

=====

Entry 6:
Material: NpGePd2
Method: DFT, GGA-PBE
State: optimized geometry

calculated density = 11.5 g cm⁻³
ΔH_f (0 K) = -0.345 eV/atom
space-group type = Pmmn, No. 59
magnetic moment = 8.0 μB per cell

Cell lengths 4.347, 5.612, 6.166 Å; angles 90.00, 90.00, 90.00 degrees
Last column: magnetic moment on the atom in μB.
Element x y z (fractional)
Np (0.000, 0.000, 0.405)  3.78
Np (0.500, 0.500, 0.595)  3.78
Ge (0.000, 0.500, 0.225)  -0.03
Ge (0.500, 0.000, 0.775)  -0.03
Pd (0.000, 0.250, 0.857)  -0.01
Pd (0.000, 0.750, 0.857)  -0.01
Pd (0.500, 0.250, 0.143)  -0.01
Pd (0.500, 0.750, 0.143)  -0.01